GGA+U Ba3NpNi2O9, relaxed; SG = No. 164; total DFT energy (no corrections) = -0.24910 hartree per atom; N(E_F) = 2.7 states/eV/cell; V = 14.324 Å³ per atom
1.0
5.820 0.000 0.000
-2.910 5.040 0.000
0.000 0.000 7.325
Ba Np Ni O
3 1 2 9
Cartesian
0.000 3.360 5.126
0.000 0.000 0.000
2.910 1.680 2.199
0.000 0.000 3.662
0.000 3.360 1.157
2.910 1.680 6.168
4.390 0.826 4.851
2.910 3.389 4.851
1.430 0.826 4.851
1.480 4.215 2.474
0.000 1.651 2.474
-1.480 4.215 2.474
2.910 0.000 0.000
-1.455 2.520 0.000
1.455 2.520 0.000